(1)
DFT (PBE-GGA) results for a relaxed structure of Pu2PbSe4.

Unit cell a=4.1745 b=13.6113 c=14.1904 alpha=90.00 beta=90.00 gamma=90.00
Closest atoms and distances in Å follow each position.
Space group Cmcm (No. 63)
Inequivalent atoms, fractional coordinates:
Pu (0.0000, 0.1342, 0.0654) [8 per cell]  6 Se 2.86-2.92
Pb (0.0000, 0.3924, 0.2500) [4 per cell]  6 Se 2.97-3.29
Se (0.0000, 0.0477, 0.2500) [4 per cell]  2 Pu 2.87, 2 Pb 2.97
Se (0.0000, 0.2315, 0.6155) [8 per cell]  3 Pu 2.86-2.89
Se (0.0000, 0.5000, 0.0000) [4 per cell]  4 Pu 2.92

Magnetic moment: 10.000 μB/f.u.
E_form (uncorrected): -1.17 eV per atom

=====

(2)
DFT (PBE-GGA) results for a relaxed structure of CeNp2Tl2Se6.

Unit cell a=7.3029 b=12.6967 c=8.1443 alpha=90.00 beta=107.27 gamma=90.00
Closest atoms and distances in Å follow each position.
Space group C2/m (No. 12)
Inequivalent atoms, fractional coordinates:
Ce (0.0000, 0.0000, 0.0000) [2 per cell]  6 Se 2.93-2.95
Np (0.0000, 0.3338, 0.0000) [4 per cell]  6 Se 2.87-2.88
Tl (0.0000, 0.1660, 0.5000) [4 per cell]  6 Se 3.34-3.38
Se (0.2275, 0.5000, 0.2017) [4 per cell]  2 Np 2.88, 1 Ce 2.93
Se (0.2356, 0.1710, 0.2012) [8 per cell]  2 Np 2.87-2.88, 1 Ce 2.95

Magnetic moment: 8.000 μB/f.u.
E_form (uncorrected): -1.12 eV per atom

=====

(3)
DFT (PBE-GGA) results for a relaxed structure of Ac5Ag2Ir2.

Unit cell a=16.3526 b=8.2985 c=8.3467 alpha=90.00 beta=90.00 gamma=90.00
Closest atoms and distances in Å follow each position.
Space group Cmce (No. 64)
Inequivalent atoms, fractional coordinates:
Ac (0.0000, 0.0000, 0.0000) [4 per cell]  4 Ir 3.22-3.25, 2 Ag 3.40
Ac (0.1230, 0.1658, 0.3350) [16 per cell]  3 Ir 3.08-3.23, 3 Ag 3.38-3.41
Ag (0.2082, 0.0000, 0.0000) [8 per cell]  7 Ac 3.38-3.41
Ir (0.0000, 0.1369, 0.6352) [8 per cell]  8 Ac 3.08-3.25, 1 Ir 3.20

Magnetic moment: 0.000 μB/f.u.
Formation energy from the elements: -442 meV/atom

=====

(4)
DFT (PBE-GGA) results for a relaxed structure of ZnS.

Unit cell a=7.7838 b=10.3132 c=10.4710 alpha=90.00 beta=90.00 gamma=90.00
Closest atoms and distances in Å follow each position.
Space group Fddd (No. 70, origin choice 2)
Inequivalent atoms, fractional coordinates:
Zn (0.1250, 0.1250, 0.2749) [16 per cell]  4 S 2.33-2.41
S (0.1250, 0.3027, 0.1250) [16 per cell]  4 Zn 2.33-2.41

Magnetic moment: 0.000 μB/f.u.
E_form (uncorrected): -0.63 eV per atom

=====

(5)
DFT (PBE-GGA) results for a relaxed structure of SrSb2Cl.

Unit cell a=3.6954 b=3.6954 c=30.1563 alpha=90.00 beta=90.00 gamma=120.00
Closest atoms and distances in Å follow each position.
Space group R-3m (No. 166, hexagonal axes)
Inequivalent atoms, fractional coordinates:
Sr (0.0000, 0.0000, 0.0000) [3 per cell]  6 Sb 3.45, 6 Sr 3.70
Sb (0.0000, 0.0000, 0.2434) [6 per cell]  3 Cl 3.15, 3 Sr 3.45
Cl (0.0000, 0.0000, 0.5000) [3 per cell]  6 Sb 3.15

E above lowest polymorph: 0.9718 eV/atom
Magnetic moment: 0.000 μB/f.u.
E_form (uncorrected): -0.07 eV per atom

=====

(6)
DFT (PBE-GGA) results for a relaxed structure of NbGe2Se8.

Unit cell a=7.3320 b=7.3320 c=6.7944 alpha=90.00 beta=90.00 gamma=120.00
Closest atoms and distances in Å follow each position.
Space group P-3m1 (No. 164)
Inequivalent atoms, fractional coordinates:
Nb (0.0000, 0.0000, 0.0000) [1 per cell]  6 Se 2.57
Ge (0.3333, 0.6667, 0.3251) [2 per cell]  4 Se 2.35-2.42
Se (0.1453, 0.2907, 0.2628) [6 per cell]  1 Ge 2.42, 1 Nb 2.57
Se (0.3333, 0.6667, 0.6716) [2 per cell]  1 Ge 2.35

Magnetic moment: 0.000 μB/f.u.
E_form (uncorrected): 0.09 eV per atom